# Tb6CePmSm2 (GGA-PBE, optimized geometry)
data_Tb6CePmSm2
_chemical_formula_sum 'Tb12 Ce2 Pm2 Sm4'
_space_group_name_H-M_alt 'C 1 2/m 1'
_space_group_IT_number 12
_space_group_name_Hall '-C 2y'
_cell_length_a 11.441
_cell_length_b 6.747
_cell_length_c 9.029
_cell_angle_alpha 90.00
_cell_angle_beta 107.22
_cell_angle_gamma 90.00
loop_
_atom_site_label
_atom_site_type_symbol
_atom_site_fract_x
_atom_site_fract_y
_atom_site_fract_z
_atom_site_occupancy
Tb1 Tb 0.129 0.000 0.417 1
Tb2 Tb 0.174 0.259 0.804 1
Ce1 Ce 0.000 0.000 0.000 1
Pm1 Pm 0.000 0.500 0.500 1
Sm1 Sm 0.088 0.500 0.169 1
# DOS(E_F) = 2.11 states/eV per atom
# formation energy = 0.247 eV per atom
# calculated total energy = -90.88 eV per cell

---

# TbCePm2Sm6 (GGA-PBE, optimized geometry)
data_TbCePm2Sm6
_chemical_formula_sum 'Tb2 Ce2 Pm4 Sm12'
_space_group_name_H-M_alt 'C 1 2/m 1'
_space_group_IT_number 12
_space_group_name_Hall '-C 2y'
_cell_length_a 11.524
_cell_length_b 6.892
_cell_length_c 8.951
_cell_angle_alpha 90.00
_cell_angle_beta 106.17
_cell_angle_gamma 90.00
loop_
_atom_site_label
_atom_site_type_symbol
_atom_site_fract_x
_atom_site_fract_y
_atom_site_fract_z
_atom_site_occupancy
Tb1 Tb 0.000 0.000 0.000 1
Ce1 Ce 0.000 0.500 0.500 1
Pm1 Pm 0.086 0.000 0.669 1
Sm1 Sm 0.123 0.500 0.915 1
Sm2 Sm 0.178 0.238 0.300 1
# DOS(E_F) = 2.16 states/eV per atom
# formation energy = 0.241 eV per atom
# calculated total energy = -91.94 eV per cell

---

# Tb2CePm6Sm (GGA-PBE, optimized geometry)
data_Tb2CePm6Sm
_chemical_formula_sum 'Tb4 Ce2 Pm12 Sm2'
_space_group_name_H-M_alt 'C 1 2/m 1'
_space_group_IT_number 12
_space_group_name_Hall '-C 2y'
_cell_length_a 11.400
_cell_length_b 6.937
_cell_length_c 8.941
_cell_angle_alpha 90.00
_cell_angle_beta 104.18
_cell_angle_gamma 90.00
loop_
_atom_site_label
_atom_site_type_symbol
_atom_site_fract_x
_atom_site_fract_y
_atom_site_fract_z
_atom_site_occupancy
Tb1 Tb 0.090 0.000 0.163 1
Ce1 Ce 0.000 0.500 0.000 1
Pm1 Pm 0.126 0.500 0.415 1
Pm2 Pm 0.173 0.237 0.800 1
Sm1 Sm 0.000 0.000 0.500 1
# DOS(E_F) = 2.24 states/eV per atom
# formation energy = 0.240 eV per atom
# calculated total energy = -92.03 eV per cell

---

# Tb2CePmSm6 (GGA-PBE, optimized geometry)
data_Tb2CePmSm6
_chemical_formula_sum 'Tb4 Ce2 Pm2 Sm12'
_space_group_name_H-M_alt 'C 1 2/m 1'
_space_group_IT_number 12
_space_group_name_Hall '-C 2y'
_cell_length_a 11.429
_cell_length_b 6.869
_cell_length_c 8.962
_cell_angle_alpha 90.00
_cell_angle_beta 104.78
_cell_angle_gamma 90.00
loop_
_atom_site_label
_atom_site_type_symbol
_atom_site_fract_x
_atom_site_fract_y
_atom_site_fract_z
_atom_site_occupancy
Tb1 Tb 0.089 0.000 0.164 1
Ce1 Ce 0.000 0.500 0.000 1
Pm1 Pm 0.000 0.000 0.500 1
Sm1 Sm 0.127 0.500 0.415 1
Sm2 Sm 0.172 0.238 0.802 1
# DOS(E_F) = 2.28 states/eV per atom
# formation energy = 0.245 eV per atom
# calculated total energy = -91.63 eV per cell